A plane-wave DFT calculation with PBE+U was carried out for BaYV4O7 after structural relaxation.

For the total magnetic moment, the calculation gives 22.0 μB/cell. The value obtained for the total energy is -99.84 eV/f.u.

It has space group P6_3mc (No. 186), with a = 6.4886 Å, b = 6.4886 Å, c = 10.7285 Å, α = 90.00°, β = 90.00° and γ = 120.00°. The asymmetric unit holds Ba at (0.3333, 0.6667, 0.0000), Y at (0.3333, 0.6667, 0.4154), V at (0.0000, 0.0000, 0.4495), V at (0.1785, 0.3570, 0.7144), O at (0.0000, 0.0000, 0.2664), O at (0.0116, 0.5058, 0.8014) and O at (0.1592, 0.3184, 0.5293).